Entry from the Alexandria database: a relaxed Pr3DyY crystal (PBE).

Output
Calculated volume, Å³ per atom: 34.70
Density of states at the Fermi level, states/eV per cell: 23.3
ΔH_f (0 K), eV/atom: 0.12
Energy, eV per formula unit: -24.82

Cell: 7.7940 9.4365 9.4365 Å, 90.48 90.00 90.00°
Fractional coordinates of all 20 atoms:
Pr 0.6163 0.9089 0.8907
Pr 0.8837 0.1093 0.0911
Pr 0.3837 0.0911 0.1093
Pr 0.1163 0.8907 0.9089
Pr 0.6075 0.3989 0.1011
Pr 0.8925 0.8989 0.6011
Pr 0.3925 0.6011 0.8989
Pr 0.1075 0.1011 0.3989
Pr 0.6163 0.6093 0.5910
Pr 0.8837 0.4090 0.3907
Pr 0.3837 0.3907 0.4090
Pr 0.1163 0.5910 0.6093
Dy 0.8722 0.5983 0.9017
Dy 0.6278 0.0983 0.4017
Dy 0.1278 0.4017 0.0983
Dy 0.3722 0.9017 0.5983
Y 0.2500 0.7395 0.2605
Y 0.7500 0.2605 0.7395
Y 0.2500 0.2394 0.7606
Y 0.7500 0.7606 0.2394



Entry from the Alexandria database: a relaxed La2TiSnPt crystal (PBE).

Output
Calculated volume, Å³ per atom: 28.81
Density of states at the Fermi level, states/eV per cell: 6.1
ΔH_f (0 K), eV/atom: -0.02
Energy, eV per formula unit: -27.87

Cell: 5.5431 4.6887 5.5431 Å, 90.00 90.00 90.00°
Fractional coordinates of all 5 atoms:
Ti 0.0000 0.0000 0.0000
Sn 0.5000 0.5000 0.5000
Pt 0.0000 0.5000 0.0000
La 0.0000 0.0000 0.5000
La 0.5000 0.0000 0.0000



Entry from the Alexandria database: a relaxed Sb4Pb5N2 crystal (PBE).

Output
Calculated volume, Å³ per atom: 27.85
Density of states at the Fermi level, states/eV per cell: 3.2
Energy, eV per formula unit: -48.59
Raw formation energy, eV/atom: 0.28

Cell: 4.0022 9.6505 10.1894 Å, 57.73 113.00 101.86°
Fractional coordinates of all 11 atoms:
Sb 0.6236 0.5614 0.3427
Sb 0.0765 0.3077 0.9230
Sb 0.3764 0.4386 0.6573
Sb 0.9235 0.6923 0.0770
Pb 0.8944 0.2809 0.2518
Pb 0.1056 0.7191 0.7482
Pb 0.3182 0.9094 0.3648
Pb 0.5000 0.0000 0.0000
Pb 0.6818 0.0906 0.6352
N 0.5390 0.3235 0.3764
N 0.4610 0.6765 0.6236



Entry from the Alexandria database: a relaxed PaAg3F9 crystal (PBE).

Output
Calculated volume, Å³ per atom: 18.18
Density of states at the Fermi level, states/eV per cell: 5.5
Energy, eV per formula unit: -64.86
Raw formation energy, eV/atom: -2.31

Cell: 5.2566 10.1807 9.6094 Å, 78.02 74.13 75.04°
Last column: magnetic moment on the atom in μB.
Fractional coordinates of all 26 atoms:
Pa 0.9388 0.5003 0.0419  0.01
Pa 0.5190 0.0003 0.5419  0.01
Ag 0.8441 0.5855 0.6481  0.37
Ag 0.9224 0.0855 0.1481  0.37
Ag 0.8836 0.8975 0.8926  0.09
Ag 0.3263 0.3975 0.3926  0.09
Ag 0.6542 0.2516 0.7577  0.21
Ag 0.3365 0.7516 0.2577  0.21
F 0.3729 0.1247 0.3596  0.00
F 0.1429 0.6246 0.8596  0.00
F 0.2385 0.3423 0.9365  0.00
F 0.4827 0.8423 0.4365  0.00
F 0.1039 0.0031 0.6470  0.00
F 0.2459 0.5031 0.1470  0.00
F 0.6835 0.7134 0.0347  0.01
F 0.5684 0.2134 0.5347  0.01
F 0.9109 0.9918 0.3891  0.02
F 0.7081 0.4918 0.8891  0.02
F 0.7178 0.8063 0.6624  0.03
F 0.8134 0.3063 0.1624  0.03
F 0.6952 0.5339 0.2637  0.01
F 0.5072 0.0339 0.7637  0.01
F 0.9570 0.3766 0.6092  0.14
F 0.0573 0.8766 0.1092  0.14
F 0.8440 0.1306 0.9354  0.16
F 0.0900 0.6306 0.4354  0.16



Entry from the Alexandria database: a relaxed La3Au2 crystal (PBE).

Output
Calculated volume, Å³ per atom: 28.84
Density of states at the Fermi level, states/eV per cell: 4.1
ΔH_f (0 K), eV/atom: -0.62
Energy, eV per formula unit: -24.46

Cell: 10.2198 3.8251 3.8251 Å, 90.00 100.79 100.79°
Fractional coordinates of all 5 atoms:
Au 0.0051 0.0025 0.0025
Au 0.3949 0.1975 0.1975
La 0.2000 0.6000 0.6000
La 0.5702 0.7851 0.7851
La 0.8298 0.4149 0.4149



Entry from the Alexandria database: a relaxed CsRb2LaI6 crystal (PBE).

Output
Calculated volume, Å³ per atom: 58.11
Density of states at the Fermi level, states/eV per cell: 0.0
Energy, eV per formula unit: -32.28
Raw formation energy, eV/atom: -1.53

Cell: 9.1601 9.1608 9.5868 Å, 61.46 61.46 60.00°
Fractional coordinates of all 10 atoms:
Cs 0.8138 0.8139 0.5584
Rb 0.5271 0.5271 0.4186
Rb 0.0155 0.0155 0.9535
La 0.3239 0.3239 0.0282
I 0.5634 0.2195 0.2408
I 0.2195 0.9763 0.2409
I 0.9763 0.5634 0.2408
I 0.4089 0.6787 0.7780
I 0.6787 0.1344 0.7780
I 0.1344 0.4089 0.7780



Entry from the Alexandria database: a relaxed CaMn3Co crystal (PBE).

Output
Calculated volume, Å³ per atom: 19.39
Density of states at the Fermi level, states/eV per cell: 7.6
ΔH_f (0 K), eV/atom: 2.20
Energy, eV per formula unit: -25.59

Cell: 4.5940 4.5940 4.5940 Å, 90.00 90.00 90.00°
Last column: magnetic moment on the atom in μB.
Fractional coordinates of all 5 atoms:
Ca 0.0000 0.0000 0.0000  -0.13
Mn 0.0000 0.5000 0.0000  3.60
Mn 0.0000 0.0000 0.5000  3.08
Mn 0.5000 0.0000 0.0000  3.98
Co 0.5000 0.5000 0.5000  -0.12



Entry from the Alexandria database: a relaxed Sr5Tl4I crystal (PBE).

Output
Calculated volume, Å³ per atom: 35.58
Density of states at the Fermi level, states/eV per cell: 7.0
Energy, eV per formula unit: -25.08
Raw formation energy, eV/atom: -0.57

Cell: 4.1064 4.1064 21.1025 Å, 90.00 90.00 90.00°
Fractional coordinates of all 10 atoms:
Sr 0.5000 0.5000 0.1177
Sr 0.5000 0.5000 0.3071
Sr 0.5000 0.5000 0.5000
Sr 0.5000 0.5000 0.6929
Sr 0.5000 0.5000 0.8823
Tl 0.0000 0.0000 0.2114
Tl 0.0000 0.0000 0.4017
Tl 0.0000 0.0000 0.5983
Tl 0.0000 0.0000 0.7886
I 0.0000 0.0000 0.0000



Entry from the Alexandria database: a relaxed Mg2SnRh2 crystal (PBE).

Output
Calculated volume, Å³ per atom: 18.26
Density of states at the Fermi level, states/eV per cell: 3.1
ΔH_f (0 K), eV/atom: -0.46
Energy, eV per formula unit: -24.19

Cell: 4.1880 5.1677 11.8455 Å, 51.56 79.82 66.10°
Fractional coordinates of all 10 atoms:
Mg 0.4015 0.1019 0.5953
Mg 0.0987 0.3981 0.9047
Mg 0.5985 0.8981 0.4047
Mg 0.9013 0.6019 0.0953
Sn 0.2498 0.7500 0.2500
Sn 0.7502 0.2500 0.7500
Rh 0.3865 0.8432 0.8841
Rh 0.8862 0.3432 0.3841
Rh 0.6135 0.1568 0.1159
Rh 0.1138 0.6568 0.6159



Entry from the Alexandria database: a relaxed Tm12RhAu6 crystal (PBE).

Output
Calculated volume, Å³ per atom: 28.27
Density of states at the Fermi level, states/eV per cell: 17.9
ΔH_f (0 K), eV/atom: -0.54
Energy, eV per formula unit: -90.89

Cell: 8.2311 8.2311 8.2311 Å, 98.53 98.53 98.53°
Fractional coordinates of all 19 atoms:
Tm 0.8170 0.5718 0.4218
Tm 0.4218 0.8170 0.5718
Tm 0.5718 0.4218 0.8170
Tm 0.1830 0.4282 0.5782
Tm 0.5782 0.1830 0.4282
Tm 0.4282 0.5782 0.1830
Tm 0.0684 0.9603 0.3183
Tm 0.0397 0.6817 0.9316
Tm 0.6817 0.9316 0.0397
Tm 0.9316 0.0397 0.6817
Tm 0.9603 0.3183 0.0684
Tm 0.3183 0.0684 0.9603
Rh 0.0000 0.0000 0.0000
Au 0.6960 0.8685 0.3780
Au 0.6220 0.3040 0.1315
Au 0.1315 0.6220 0.3040
Au 0.3040 0.1315 0.6220
Au 0.3780 0.6960 0.8685
Au 0.8685 0.3780 0.6960



Entry from the Alexandria database: a relaxed NdY2Rh2 crystal (PBE).

Output
Calculated volume, Å³ per atom: 25.72
Density of states at the Fermi level, states/eV per cell: 6.1
ΔH_f (0 K), eV/atom: -0.65
Energy, eV per formula unit: -35.67

Cell: 4.4243 5.5722 10.5328 Å, 82.14 90.00 90.00°
Fractional coordinates of all 10 atoms:
Nd 0.2500 0.5623 0.2148
Nd 0.7500 0.4377 0.7852
Y 0.2500 0.8822 0.8862
Y 0.7500 0.1178 0.1138
Y 0.2500 0.2300 0.5320
Y 0.7500 0.7700 0.4680
Rh 0.2500 0.6950 0.6369
Rh 0.7500 0.3050 0.3631
Rh 0.2500 0.3426 0.9661
Rh 0.7500 0.6574 0.0339



Entry from the Alexandria database: a relaxed Ba2UAg3S6 crystal (PBE).

Output
Calculated volume, Å³ per atom: 25.40
Energy, eV per formula unit: -61.59
Raw formation energy, eV/atom: -1.10

Cell: 8.0065 8.0065 6.1903 Å, 99.61 99.61 124.63°
Last column: magnetic moment on the atom in μB.
Fractional coordinates of all 12 atoms:
Ba 0.3225 0.6775 0.0000  0.00
Ba 0.6775 0.3225 0.0000  0.00
U 0.0000 0.0000 0.0000  1.23
Ag 0.1149 0.8851 0.5000  -0.01
Ag 0.8851 0.1149 0.5000  -0.01
Ag 0.5000 0.5000 0.5000  -0.01
S 0.9209 0.6459 0.7295  -0.03
S 0.7472 0.7472 0.2010  -0.03
S 0.0791 0.3541 0.2705  -0.03
S 0.6459 0.9209 0.7295  -0.03
S 0.2528 0.2528 0.7990  -0.03
S 0.3541 0.0791 0.2705  -0.03